P) {"formula": "K2BrCl2", "functional": "PBE", "state": "optimized geometry", "lattice_angstrom": [[4.351, 0.000, 0.000], [0.000, 4.351, 0.000], [2.176, 2.176, 8.386]], "species": ["Cl", "Br", "Cl", "K", "K"], "fractional_positions": [[0.750, 0.250, 0.500], [0.000, 0.000, 0.000], [0.250, 0.750, 0.500], [0.387, 0.387, 0.225], [0.613, 0.613, 0.775]], "space_group": "I4/mmm", "m_tot_mub_per_cell": 0.007}

---

Q) {"formula": "K2BrCl2", "functional": "PBE", "state": "optimized geometry", "lattice_angstrom": [[-5.662, 4.066, -5.413], [-5.846, -6.496, 1.234], [-1.555, 1.992, 3.123]], "species": ["K", "Cl", "Br", "K", "K", "Cl", "K", "Cl", "Cl", "Br"], "fractional_positions": [[0.347, 0.847, 0.000], [0.150, 0.650, 0.500], [0.500, 0.500, 0.000], [0.847, 0.653, 0.000], [0.653, 0.153, 0.000], [0.350, 0.150, 0.500], [0.153, 0.347, 0.000], [0.650, 0.850, 0.500], [0.850, 0.350, 0.500], [0.000, 0.000, 0.000]], "space_group": "P4/mbm", "m_tot_mub_per_cell": 2.000}

---

Most stable structure: Q)

---

P) {"formula": "KBr3Cl", "functional": "PBE", "state": "optimized geometry", "lattice_angstrom": [[5.460, 0.000, 0.000], [0.000, 5.460, 0.000], [0.000, 0.000, 5.460]], "species": ["Br", "Br", "Br", "K", "Cl"], "fractional_positions": [[0.000, 0.000, 0.500], [0.000, 0.500, 0.000], [0.500, 0.000, 0.000], [0.500, 0.500, 0.500], [0.000, 0.000, 0.000]], "space_group": "Pm-3m", "m_tot_mub_per_cell": 0.000}

---

Q) {"formula": "KBr3Cl", "functional": "PBE", "state": "optimized geometry", "lattice_angstrom": [[-2.024, -5.452, -2.492], [5.703, -0.941, -2.574], [1.848, -3.069, 5.215]], "species": ["Br", "K", "Br", "Br", "Cl"], "fractional_positions": [[0.500, 0.000, 0.000], [0.000, 0.000, 0.000], [0.000, 0.000, 0.500], [0.000, 0.500, 0.000], [0.500, 0.500, 0.500]], "space_group": "Pm-3m", "m_tot_mub_per_cell": 3.002}

---

Most stable structure: P)

---

P) {"formula": "KPBrCl2", "functional": "PBE", "state": "optimized geometry", "lattice_angstrom": [[-5.568, 2.013, -1.537], [-1.578, 0.145, 5.908], [1.497, 4.363, 0.293]], "species": ["P", "K", "Cl", "Br", "Cl"], "fractional_positions": [[0.000, 0.000, 0.500], [0.500, 0.500, 0.500], [0.000, 0.500, 0.000], [0.000, 0.000, 0.000], [0.500, 0.000, 0.000]], "space_group": "P4/mmm", "m_tot_mub_per_cell": 0.472}

---

Q) {"formula": "KPBrCl2", "functional": "PBE", "state": "optimized geometry", "lattice_angstrom": [[-3.212, -0.794, 4.558], [2.861, -4.701, 1.198], [5.748, 4.742, 4.876]], "species": ["Br", "Cl", "Cl", "P", "K"], "fractional_positions": [[0.500, 0.500, 0.500], [0.000, 0.500, 0.000], [0.500, 0.000, 0.000], [0.000, 0.000, 0.500], [0.000, 0.000, 0.000]], "space_group": "P4/mmm", "m_tot_mub_per_cell": 2.871}

---

Most stable structure: P)

---

P) {"formula": "KPbBr2Cl", "functional": "PBE", "state": "optimized geometry", "lattice_angstrom": [[5.975, 0.000, 0.000], [0.000, 5.975, 0.000], [0.000, 0.000, 5.658]], "species": ["K", "Pb", "Br", "Cl", "Br"], "fractional_positions": [[0.500, 0.500, 0.500], [0.000, 0.000, 0.000], [0.500, 0.000, 0.000], [0.000, 0.000, 0.500], [0.000, 0.500, 0.000]], "space_group": "P4/mmm", "m_tot_mub_per_cell": 0.000}

---

Q) {"formula": "KPbBr2Cl", "functional": "PBE", "state": "optimized geometry", "lattice_angstrom": [[-3.433, 2.520, -1.254], [-0.942, -6.824, -3.278], [-5.550, -3.323, 8.511]], "species": ["Br", "Pb", "K", "Br", "Br", "Cl", "Pb", "Br", "Cl", "K"], "fractional_positions": [[0.639, 0.279, 0.941], [0.000, 0.000, 0.500], [0.267, 0.533, 0.750], [0.639, 0.279, 0.559], [0.361, 0.721, 0.441], [0.921, 0.842, 0.750], [0.000, 0.000, 0.000], [0.361, 0.721, 0.059], [0.079, 0.158, 0.250], [0.733, 0.467, 0.250]], "space_group": "Cmcm", "m_tot_mub_per_cell": 0.000}

---

Most stable structure: Q)

---

P) {"formula": "KSnBr2Cl", "functional": "PBE", "state": "optimized geometry", "lattice_angstrom": [[8.094, 0.000, 0.000], [0.000, 8.094, 0.000], [-4.047, -4.047, 5.607]], "species": ["K", "Br", "Cl", "Sn", "Cl", "Sn", "K", "Br", "Br", "Br"], "fractional_positions": [[0.749, 0.249, 0.498], [0.174, 0.322, 0.997], [0.758, 0.758, 0.515], [0.497, 0.497, 0.994], [0.258, 0.258, 0.515], [0.997, 0.997, 0.994], [0.249, 0.749, 0.498], [0.674, 0.174, 0.997], [0.322, 0.822, 0.997], [0.822, 0.674, 0.997]], "space_group": "I4cm", "m_tot_mub_per_cell": 0.000}

---

Q) {"formula": "KSnBr2Cl", "functional": "PBE", "state": "optimized geometry", "lattice_angstrom": [[5.868, 0.000, 0.000], [0.000, 5.868, 0.000], [0.000, 0.000, 5.541]], "species": ["K", "Br", "Cl", "Br", "Sn"], "fractional_positions": [[0.500, 0.500, 0.500], [0.500, 0.000, 0.000], [0.000, 0.000, 0.500], [0.000, 0.500, 0.000], [0.000, 0.000, 0.000]], "space_group": "P4/mmm", "m_tot_mub_per_cell": 0.000}

---

Most stable structure: P)

---

P) {"formula": "KTlBr2Cl", "functional": "PBE", "state": "optimized geometry", "lattice_angstrom": [[5.796, 0.000, 0.000], [0.000, 5.796, 0.000], [0.000, 0.000, 5.574]], "species": ["Br", "Cl", "K", "Tl", "Br"], "fractional_positions": [[0.000, 0.500, 0.000], [0.000, 0.000, 0.500], [0.500, 0.500, 0.500], [0.000, 0.000, 0.000], [0.500, 0.000, 0.000]], "space_group": "P4/mmm", "m_tot_mub_per_cell": 0.000}

---

Q) {"formula": "KTlBr2Cl", "functional": "PBE", "state": "optimized geometry", "lattice_angstrom": [[8.068, 0.000, 0.000], [0.000, 8.068, 0.000], [-4.034, -4.034, 5.541]], "species": ["Tl", "Cl", "Cl", "Tl", "Br", "Br", "K", "Br", "Br", "K"], "fractional_positions": [[0.000, 0.000, 0.000], [0.750, 0.750, 0.500], [0.250, 0.250, 0.500], [0.500, 0.500, 0.000], [0.677, 0.177, 0.000], [0.823, 0.677, 0.000], [0.750, 0.250, 0.500], [0.323, 0.823, 0.000], [0.177, 0.323, 0.000], [0.250, 0.750, 0.500]], "space_group": "I4/mcm", "m_tot_mub_per_cell": 0.000}

---

Most stable structure: Q)

---

P) {"formula": "KVBr2Cl", "functional": "PBE", "state": "optimized geometry", "lattice_angstrom": [[-6.584, 2.270, 2.378], [-2.439, 0.197, -6.940], [2.993, -6.054, 2.678]], "species": ["Br", "V", "Cl", "Br", "Br", "Br", "V", "Cl", "K", "K"], "fractional_positions": [[0.301, 0.801, 0.000], [0.500, 0.500, 0.000], [0.250, 0.250, 0.500], [0.801, 0.699, 0.000], [0.199, 0.301, 0.000], [0.699, 0.199, 0.000], [0.000, 0.000, 0.000], [0.750, 0.750, 0.500], [0.750, 0.250, 0.500], [0.250, 0.750, 0.500]], "space_group": "I4/mcm", "m_tot_mub_per_cell": 6.000}

---

Q) {"formula": "KVBr2Cl", "functional": "PBE", "state": "optimized geometry", "lattice_angstrom": [[5.313, 0.000, 0.000], [0.000, 5.313, 0.000], [0.000, 0.000, 4.956]], "species": ["Br", "K", "V", "Br", "Cl"], "fractional_positions": [[0.500, 0.000, 0.000], [0.500, 0.500, 0.500], [0.000, 0.000, 0.000], [0.000, 0.500, 0.000], [0.000, 0.000, 0.500]], "space_group": "P4/mmm", "m_tot_mub_per_cell": 3.000}

---

Most stable structure: P)

---

P) {"formula": "La2Br4Cl", "functional": "PBE", "state": "optimized geometry", "lattice_angstrom": [[5.089, 0.000, 1.172], [2.409, 4.482, 1.172], [0.267, 0.160, 10.469]], "species": ["Cl", "Br", "Br", "Br", "Br", "La", "La"], "fractional_positions": [[0.500, 0.500, 0.500], [0.700, 0.700, 0.899], [0.900, 0.900, 0.299], [0.300, 0.300, 0.101], [0.100, 0.100, 0.701], [0.407, 0.407, 0.778], [0.593, 0.593, 0.222]], "space_group": "R-3m", "m_tot_mub_per_cell": 1.182}

---

Q) {"formula": "La2Br4Cl", "functional": "PBE", "state": "optimized geometry", "lattice_angstrom": [[5.909, 0.000, 0.000], [0.000, 5.909, 0.000], [2.954, 2.954, 7.897]], "species": ["Cl", "La", "Br", "Br", "Br", "Br", "La"], "fractional_positions": [[0.000, 0.000, 0.000], [0.405, 0.405, 0.189], [0.769, 0.769, 0.462], [0.500, 0.000, 0.000], [0.231, 0.231, 0.538], [0.000, 0.500, 0.000], [0.595, 0.595, 0.811]], "space_group": "I4/mmm", "m_tot_mub_per_cell": 0.754}

---

Most stable structure: P)